Material: NdPaNiS4
Method: DFT, PBE
State: relaxed

Structure (POSCAR):
```
NdPaNiS4
1.0
6.328 0.000 0.000
0.000 5.955 0.000
-2.220 0.000 7.417
Nd Pa Ni S
2 2 2 8
direct
0.249 0.250 0.059
0.751 0.750 0.941
0.245 0.250 0.558
0.755 0.750 0.442
0.237 0.750 0.329
0.763 0.250 0.671
0.018 0.512 0.742
0.018 0.988 0.742
0.429 0.750 0.125
0.434 0.750 0.608
0.566 0.250 0.392
0.571 0.250 0.875
0.982 0.012 0.258
0.982 0.488 0.258
```

Computed properties:
- energy relative to the elements, uncorrected (eV/atom) = -1.4880
- density of states at the Fermi level (states/eV/f.u.) = 2.21


Material: NdPaSi2Ni2
Method: DFT, PBE
State: relaxed

Structure (POSCAR):
```
NdPaSi2Ni2
1.0
4.091 0.000 0.000
-2.046 3.543 0.000
0.000 0.000 7.757
Nd Pa Si Ni
1 1 2 2
direct
0.000 0.000 0.000
0.000 0.000 0.500
0.333 0.667 0.735
0.667 0.333 0.265
0.333 0.667 0.275
0.667 0.333 0.725
```

Computed properties:
- energy relative to the elements, uncorrected (eV/atom) = -0.7319
- density of states at the Fermi level (states/eV/f.u.) = 3.73


Material: NdNi2Pb
Method: DFT, PBE
State: relaxed

Structure (POSCAR):
```
NdNi2Pb
1.0
2.269 1.310 4.487
-2.269 1.310 4.487
0.000 -2.620 4.487
Nd Ni Pb
1 2 1
direct
0.000 0.000 0.000
0.210 0.210 0.210
0.790 0.790 0.790
0.500 0.500 0.500
```

Computed properties:
- formation energy (eV/atom) = -0.21
- density of states at the Fermi level (states/eV/f.u.) = 3.38


Material: Nd7Ni2Pb2
Method: DFT, PBE
State: relaxed

Structure (POSCAR):
```
Nd7Ni2Pb2
1.0
4.116 -5.794 0.000
4.116 5.794 0.000
0.000 0.000 7.177
Nd Ni Pb
7 2 2
direct
0.000 0.000 0.000
0.000 0.500 0.246
0.000 0.500 0.754
0.500 0.000 0.246
0.500 0.000 0.754
0.500 0.500 0.225
0.500 0.500 0.775
0.286 0.714 0.000
0.714 0.286 0.000
0.183 0.183 0.500
0.817 0.817 0.500
```

Computed properties:
- formation energy (eV/atom) = -0.20
- density of states at the Fermi level (states/eV/f.u.) = 11.94


Material: Nd8Ni2Pb
Method: DFT, PBE
State: relaxed

Structure (POSCAR):
```
Nd8Ni2Pb
1.0
4.392 -6.941 0.000
4.392 6.941 0.000
-1.352 0.000 5.392
Nd Ni Pb
8 2 1
direct
0.100 0.100 0.801
0.170 0.422 0.434
0.250 0.750 0.000
0.422 0.170 0.434
0.578 0.830 0.566
0.750 0.250 0.000
0.830 0.578 0.566
0.900 0.900 0.199
0.201 0.799 0.500
0.799 0.201 0.500
0.500 0.500 0.000
```

Computed properties:
- formation energy (eV/atom) = -0.14
- density of states at the Fermi level (states/eV/f.u.) = 13.08


Material: Nd2NiPb
Method: DFT, PBE
State: relaxed

Structure (POSCAR):
```
Nd2NiPb
1.0
-2.218 2.465 5.179
2.218 -2.465 5.179
2.218 2.465 -5.179
Nd Ni Pb
2 1 1
direct
0.167 0.167 0.000
0.833 0.833 0.000
0.000 0.500 0.500
0.500 0.500 0.000
```

Computed properties:
- formation energy (eV/atom) = -0.16
- density of states at the Fermi level (states/eV/f.u.) = 2.59


Material: Nd12Ni5Pb
Method: DFT, PBE
State: relaxed

Structure (POSCAR):
```
Nd12Ni5Pb
1.0
-4.821 4.982 5.187
4.821 -4.982 5.187
4.821 4.982 -5.187
Nd Ni Pb
12 5 1
direct
0.013 0.203 0.810
0.182 0.301 0.483
0.182 0.699 0.880
0.321 0.013 0.691
0.321 0.630 0.309
0.393 0.203 0.190
0.607 0.797 0.810
0.679 0.370 0.691
0.679 0.987 0.309
0.818 0.301 0.120
0.818 0.699 0.517
0.987 0.797 0.190
0.000 0.000 0.000
0.122 0.622 0.500
0.370 0.000 0.370
0.630 0.000 0.630
0.878 0.378 0.500
0.500 0.500 0.000
```

Computed properties:
- formation energy (eV/atom) = -0.26
- density of states at the Fermi level (states/eV/f.u.) = 17.89


Material: Nd5Ni2Pb
Method: DFT, PBE
State: relaxed

Structure (POSCAR):
```
Nd5Ni2Pb
1.0
-3.995 3.995 6.882
3.995 -3.995 6.882
3.995 3.995 -6.882
Nd Ni Pb
10 4 2
direct
0.000 0.000 0.000
0.022 0.522 0.815
0.207 0.022 0.500
0.293 0.793 0.815
0.478 0.293 0.500
0.500 0.500 0.000
0.522 0.707 0.500
0.707 0.207 0.185
0.793 0.978 0.500
0.978 0.478 0.185
0.127 0.373 0.500
0.373 0.873 0.246
0.627 0.127 0.754
0.873 0.627 0.500
0.250 0.250 0.000
0.750 0.750 0.000
```

Computed properties:
- formation energy (eV/atom) = -0.31
- density of states at the Fermi level (states/eV/f.u.) = 7.84


Material: Nd4NiPb2
Method: DFT, PBE
State: relaxed

Structure (POSCAR):
```
Nd4NiPb2
1.0
-2.540 2.540 8.677
2.540 -2.540 8.677
2.540 2.540 -8.677
Nd Ni Pb
4 1 2
direct
0.000 0.500 0.500
0.176 0.176 0.000
0.500 0.000 0.500
0.824 0.824 0.000
0.000 0.000 0.000
0.362 0.362 0.000
0.638 0.638 0.000
```

Computed properties:
- formation energy (eV/atom) = -0.35
- excess energy over the best structure of this formula in the dataset (eV per atom) = 0.025
- density of states at the Fermi level (states/eV/f.u.) = 5.15


Material: Nd12Ni6Pb
Method: DFT, PBE
State: relaxed

Structure (POSCAR):
```
Nd12Ni6Pb
1.0
-5.047 5.047 5.047
5.047 -5.047 5.047
5.047 5.047 -5.047
Nd Ni Pb
12 6 1
direct
0.121 0.814 0.308
0.186 0.308 0.494
0.186 0.692 0.879
0.308 0.121 0.814
0.308 0.494 0.186
0.494 0.186 0.308
0.506 0.814 0.692
0.692 0.506 0.814
0.692 0.879 0.186
0.814 0.308 0.121
0.814 0.692 0.506
0.879 0.186 0.692
0.121 0.621 0.500
0.379 0.500 0.879
0.500 0.121 0.621
0.500 0.879 0.379
0.621 0.500 0.121
0.879 0.379 0.500
0.000 0.000 0.000
```

Computed properties:
- formation energy (eV/atom) = -0.29
- density of states at the Fermi level (states/eV/f.u.) = 18.77


Material: Nd3NiPb
Method: DFT, PBE
State: relaxed

Structure (POSCAR):
```
Nd3NiPb
1.0
5.367 0.000 0.000
0.000 5.367 0.000
0.000 0.000 5.367
Nd Ni Pb
3 1 1
direct
0.000 0.000 0.500
0.000 0.500 0.000
0.500 0.000 0.000
0.000 0.000 0.000
0.500 0.500 0.500
```

Computed properties:
- formation energy (eV/atom) = -0.25
- density of states at the Fermi level (states/eV/f.u.) = 6.04


Material: Nd3NiPb
Method: DFT, PBE
State: relaxed

Structure (POSCAR):
```
Nd3NiPb
1.0
5.007 -6.986 0.000
5.007 6.986 0.000
0.000 0.000 4.373
Nd Ni Pb
6 2 2
direct
0.177 0.421 0.500
0.179 0.821 0.000
0.421 0.177 0.500
0.579 0.823 0.500
0.821 0.179 0.000
0.823 0.579 0.500
0.000 0.500 0.999
0.500 0.000 0.999
0.000 0.000 0.500
0.500 0.500 0.000
```

Computed properties:
- formation energy (eV/atom) = -0.25
- density of states at the Fermi level (states/eV/f.u.) = 4.89